# 1
Material: LiY2AgO
Method: DFT, GGA-PBE
State: relaxed

a b c (Å): 4.8474 4.8474 3.9754
angles (deg): 90.00 90.00 90.00
Closest atoms and distances in Å follow each position.
Positions (direct):
Li: 0.0000 0.0000 0.5000  2 O 1.99
Y: 0.0000 0.5000 0.0000  2 O 2.42
Y: 0.5000 0.0000 0.0000  2 O 2.42
O: 0.0000 0.0000 0.0000  2 Li 1.99
Ag: 0.5000 0.5000 0.5000  8 Y 3.13, 4 Li 3.43

Formation energy without anion corrections = -1.26 eV/atom
SG = P4/mmm (123)
Energy = -5.79 eV per atom


# 2
Material: LiYAg2O
Method: DFT, GGA-PBE
State: relaxed

a b c (Å): 4.0882 6.0326 4.0882
angles (deg): 90.00 90.00 90.00
Closest atoms and distances in Å follow each position.
Positions (direct):
Ag: 0.5000 0.0000 0.0000  2 Li 2.04
Ag: 0.0000 0.0000 0.5000  2 Li 2.04
Y: 0.0000 0.5000 0.0000  4 O 2.89, 2 Li 3.02
O: 0.5000 0.5000 0.5000  4 Y 2.89
Li: 0.0000 0.0000 0.0000  4 Ag 2.04

Formation energy without anion corrections = 0.14 eV/atom
SG = P4/mmm (123)
Energy = -3.66 eV per atom


# 3
Material: LiY4Ag4O12
Method: DFT, GGA-PBE
State: relaxed

a b c (Å): 6.9363 6.1951 7.2361
angles (deg): 72.74 90.00 90.00
Closest atoms and distances in Å follow each position.
Positions (direct):
Ag: 0.7406 0.9821 0.5134  4 O 2.09-2.13
Ag: 0.7477 0.4904 0.9991  4 O 2.00-2.09
Ag: 0.2594 0.9821 0.5134  4 O 2.09-2.13
Ag: 0.2523 0.4904 0.9991  4 O 2.00-2.09
O: 0.2837 0.8246 0.9364  1 Ag 2.00
O: 0.0000 0.5134 0.1500  1 Li 1.95, 2 Ag 2.09
O: 0.1987 0.2647 0.6135  1 Ag 2.13, 2 Y 2.31
O: 0.6987 0.7177 0.3883  1 Ag 2.11, 2 Y 2.30
O: 0.5000 0.1633 0.3779  2 Ag 2.09
O: 0.7910 0.1520 0.0677  1 Li 1.86, 1 Ag 2.03
O: 0.7163 0.8246 0.9364  1 Ag 2.00
O: 0.0000 0.8199 0.6246  2 Ag 2.10, 1 Y 2.34
O: 0.5000 0.4300 0.8681  2 Ag 2.05, 1 Y 2.26
O: 0.2090 0.1520 0.0677  1 Li 1.86, 1 Ag 2.03
O: 0.3013 0.7177 0.3883  1 Ag 2.11, 2 Y 2.30
O: 0.8013 0.2647 0.6135  1 Ag 2.13, 2 Y 2.31
Li: 0.0000 0.1843 0.2180  3 O 1.86-1.95
Y: 0.0000 0.0262 0.8665  7 O 2.31-2.45
Y: 0.5000 0.4283 0.5568  6 O 2.26-2.37
Y: 0.5000 0.9546 0.1215  7 O 2.31-2.56
Y: 0.0000 0.5575 0.4499  6 O 2.27-2.34

Formation energy without anion corrections = -1.76 eV/atom
SG = Pm (6)
Energy = -6.46 eV per atom


# 4
Material: Li2YAgO
Method: DFT, GGA-PBE
State: relaxed

a b c (Å): 4.3504 4.3504 4.4913
angles (deg): 90.00 90.00 90.00
Closest atoms and distances in Å follow each position.
Positions (direct):
O: 0.0000 0.0000 0.0000  4 Li 2.18, 2 Y 2.25
Ag: 0.5000 0.5000 0.5000  4 Y 3.08, 8 Li 3.13
Li: 0.0000 0.5000 0.0000  2 O 2.18
Li: 0.5000 0.0000 0.0000  2 O 2.18
Y: 0.0000 0.0000 0.5000  2 O 2.25

Formation energy without anion corrections = -1.15 eV/atom
SG = P4/mmm (123)
Energy = -4.77 eV per atom


# 5
Material: LiAgOs2
Method: DFT, GGA-PBE
State: relaxed

a b c (Å): 2.9670 2.9670 6.3971
angles (deg): 90.00 90.00 90.00
Closest atoms and distances in Å follow each position.
Positions (direct):
Li: 0.5000 0.5000 0.7500  8 Os 2.43
Ag: 0.5000 0.5000 0.2500  8 Os 2.88, 4 Ag 2.97, 2 Li 3.20
Os: 0.0000 0.0000 0.5589  4 Li 2.43, 1 Os 2.45
Os: 0.0000 0.0000 0.9411  4 Li 2.43, 1 Os 2.45

Relative energy among the computed polymorphs = 584 meV per atom
SG = P4/mmm (123)
DFT formation energy = 0.823 eV/atom
Energy = -5.98 eV per atom


# 6
Material: LiAgOs2
Method: DFT, GGA-PBE
State: relaxed

a b c (Å): 2.6214 4.4399 5.1782
angles (deg): 90.00 90.00 90.00
Closest atoms and distances in Å follow each position.
Positions (direct):
Li: 0.5000 0.5000 0.7500  2 Ag 2.59, 2 Li 2.62, 8 Os 2.83
Os: 0.0000 0.0000 0.9775  3 Os 2.36-2.62
Os: 0.0000 0.0000 0.5225  3 Os 2.36-2.62
Ag: 0.5000 0.5000 0.2500  2 Li 2.59, 2 Ag 2.62

Relative energy among the computed polymorphs = 347 meV per atom
SG = Pmmm (47)
DFT formation energy = 0.587 eV/atom
Energy = -6.22 eV per atom


# 7
Material: LiAg3Os
Method: DFT, GGA-PBE
State: relaxed

a b c (Å): 4.3311 4.3311 4.3311
angles (deg): 90.00 90.00 90.00
Closest atoms and distances in Å follow each position.
Positions (direct):
Os: 0.5000 0.5000 0.5000  12 Ag 3.06
Ag: 0.0000 0.0000 0.5000  2 Li 2.17
Ag: 0.0000 0.5000 0.0000  2 Li 2.17
Ag: 0.5000 0.0000 0.0000  2 Li 2.17
Li: 0.0000 0.0000 0.0000  6 Ag 2.17

Relative energy among the computed polymorphs = 0 meV per atom
SG = Pm-3m (221)
DFT formation energy = 1.047 eV/atom
Energy = -3.29 eV per atom


# 8
Material: LiAgOs2
Method: DFT, GGA-PBE
State: relaxed

a b c (Å): 2.5920 2.5920 8.9823
angles (deg): 90.00 90.00 90.00
Closest atoms and distances in Å follow each position.
Positions (direct):
Li: 0.5000 0.5000 0.7500  4 Li 2.59, 8 Os 2.83
Os: 0.0000 0.0000 0.9900  4 Os 2.59, 4 Li 2.83
Os: 0.0000 0.0000 0.5100  4 Os 2.59, 4 Li 2.83
Ag: 0.5000 0.5000 0.2500  4 Ag 2.59

Relative energy among the computed polymorphs = 445 meV per atom
SG = P4/mmm (123)
DFT formation energy = 0.685 eV/atom
Energy = -6.12 eV per atom